Record 1
First-principles (PBE) data for a relaxed NdSm3Ho2S6 crystal, as listed in the Alexandria database.

```
NdSm3Ho2S6
1.0
-2.223 -3.766 -5.329
2.078 -3.093 5.799
-6.014 2.580 2.169
S Ho Sm Nd
6 2 3 1
Cartesian
-3.909 -3.058 3.902
-4.603 0.151 1.770
-2.250 -1.222 -1.263
-0.771 -0.991 2.564
-1.555 -4.431 0.869
-5.388 -3.289 0.075
0.642 -3.318 2.084
-0.787 -3.542 -1.613
-3.079 -2.140 1.320
-4.534 -2.368 -2.445
-1.624 -1.912 5.084
0.000 0.000 0.000
```

Properties
The formation energy (no corrections) is -2.01 eV/atom.

=====

Record 2
First-principles (PBE) data for a relaxed PC crystal, as listed in the Alexandria database.

```
PC
1.0
4.706 -0.375 0.000
-3.611 3.041 0.000
0.000 0.000 6.912
P C
2 2
Cartesian
0.548 1.333 1.214
0.000 0.000 3.969
0.000 0.000 0.318
0.548 1.333 4.866
```

Properties
For the distance to the lowest polymorph of the same formula, the calculation gives 2.25 eV per formula unit. The calculation puts the formation energy at 1.439 eV per atom.

=====

Record 3
First-principles (PBE) data for a relaxed Tb4Er6Tm crystal, as listed in the Alexandria database.

```
Tb4Er6Tm
1.0
7.511 0.000 0.000
0.000 7.511 0.000
-3.756 -3.756 6.521
Tb Tm Er
4 1 6
Cartesian
1.280 1.280 1.007
-2.476 2.476 5.514
2.476 -2.476 5.514
6.231 6.231 1.007
3.756 3.756 0.000
0.000 3.756 0.000
1.789 1.789 4.124
3.756 0.000 0.000
1.966 5.545 2.397
5.545 1.966 2.397
-1.789 -1.789 4.124
```

Properties
For the distance to the lowest polymorph of the same formula, the calculation gives 3.63 eV per formula unit. The calculation puts the formation energy at 0.460 eV per atom.

=====

Record 4
First-principles (PBE) data for a relaxed SiOs2Br crystal, as listed in the Alexandria database.

```
SiOs2Br
1.0
-0.411 0.436 2.775
-5.101 -1.045 -0.592
0.752 -4.099 0.755
Br Si Os
1 1 2
Cartesian
-2.175 -2.572 0.081
0.170 -1.832 1.765
-2.756 -0.305 1.091
0.000 0.000 0.000
```

Properties
The formation energy (no corrections) is 1.02 eV/atom. For the distance to the lowest polymorph of the same formula, the calculation gives 2.22 eV per formula unit.

=====

Record 5
First-principles (PBE) data for a relaxed AcPrBi4 crystal, as listed in the Alexandria database.

```
AcPrBi4
1.0
-2.903 4.516 3.915
-6.616 0.115 0.599
-2.853 -1.885 5.697
Bi Pr Ac
4 1 1
Cartesian
-4.421 1.660 6.085
-6.307 2.662 3.530
-7.737 1.717 6.385
-6.282 -0.546 4.423
0.000 0.000 0.000
-3.093 0.687 2.553
```

Properties
The calculation puts the formation energy at -0.315 eV per atom.

=====

Record 6
First-principles (PBE) data for a relaxed Er3Pd13 crystal, as listed in the Alexandria database.

```
Er3Pd13
1.0
-3.811 3.756 -1.939
-2.570 -0.557 5.047
4.659 6.310 3.069
Pd Er
13 3
Cartesian
-0.773 3.520 -0.213
-1.176 5.849 1.316
-1.452 0.673 0.820
-1.584 8.195 2.817
1.527 6.635 1.302
0.638 4.017 2.330
-2.887 0.545 3.263
-2.028 3.146 2.349
-0.560 3.707 4.787
0.317 6.323 3.894
-4.892 2.398 2.495
-3.884 5.080 1.302
-2.370 5.525 3.795
0.807 4.122 7.164
-3.449 2.498 0.099
-1.332 1.225 5.755
```

Properties
The calculation puts the formation energy at -0.595 eV per atom.

=====

Record 7
First-principles (PBE) data for a relaxed AlPbW2 crystal, as listed in the Alexandria database.

```
AlPbW2
1.0
3.997 0.000 0.000
0.000 3.997 0.000
1.998 1.998 9.886
Pb Al W
2 2 4
Cartesian
0.000 0.000 0.000
3.997 1.998 4.943
1.998 1.998 0.000
1.998 3.997 4.943
4.996 4.803 7.414
2.805 0.999 2.471
1.192 2.998 2.471
2.998 3.191 7.414
```

Properties
For the distance to the lowest polymorph of the same formula, the calculation gives 1.96 eV per formula unit. The calculation puts the formation energy at 0.872 eV per atom.

=====

Record 8
First-principles (PBE) data for a relaxed PuCd3Pt8 crystal, as listed in the Alexandria database.

```
PuCd3Pt8
1.0
5.413 0.000 0.000
-2.707 4.688 0.000
0.000 0.000 8.692
Pt Pu Cd
8 1 3
Cartesian
0.000 3.125 8.680
1.375 3.919 2.182
0.000 3.125 4.344
-1.375 3.919 2.182
2.707 0.029 6.506
1.379 2.329 6.506
4.035 2.329 6.506
0.000 1.537 2.182
0.000 0.000 4.966
2.707 1.563 3.667
2.707 1.563 0.458
0.000 0.000 8.315
```

Properties
The calculation puts the formation energy at -0.372 eV per atom.

=====

Record 9
First-principles (PBE) data for a relaxed TiInFeB2 crystal, as listed in the Alexandria database.

```
TiInFeB2
1.0
-0.144 0.161 -3.957
2.511 -3.695 -0.242
-3.277 -2.229 0.029
In Ti B Fe
1 1 2 1
Cartesian
-0.455 -2.882 -2.085
1.256 -1.848 -0.121
-0.072 0.080 -1.978
-1.638 -1.114 0.015
0.000 0.000 0.000
```

Properties
The calculation puts the formation energy at 0.615 eV per atom.

=====

Record 10
First-principles (PBE) data for a relaxed RbCuRe2O8 crystal, as listed in the Alexandria database.

```
RbCuRe2O8
1.0
-4.947 2.388 1.277
-4.233 0.673 -5.206
-5.732 -5.012 -0.383
Re O Rb Cu
2 8 1 1
Cartesian
-3.398 0.074 -0.848
-11.514 -2.024 -3.464
-4.227 -1.131 -1.808
-4.418 0.600 0.505
-6.195 1.601 -2.087
-10.685 -0.819 -2.505
-12.993 -1.344 -4.172
-1.920 -0.606 -0.140
-8.717 -3.551 -2.226
-10.494 -2.550 -4.817
-7.456 -0.975 -2.156
0.000 0.000 0.000
```

Properties
The formation energy (no corrections) is -1.56 eV/atom.

=====

Record 11
First-principles (PBE) data for a relaxed Nd4Tl2Ga crystal, as listed in the Alexandria database.

```
Nd4Tl2Ga
1.0
3.780 0.000 0.000
0.000 7.533 -0.068
-1.890 -3.734 7.853
Ga Tl Nd
1 2 4
Cartesian
0.000 0.000 0.000
0.000 -0.376 3.838
1.890 4.174 3.947
0.000 4.900 1.351
0.000 2.239 5.950
1.890 1.559 1.835
1.890 -1.101 6.435
```

Properties
For the distance to the lowest polymorph of the same formula, the calculation gives 0.31 eV per formula unit. The calculation puts the formation energy at -0.239 eV per atom.

=====

Record 12
First-principles (PBE) data for a relaxed P2OsPt crystal, as listed in the Alexandria database.

```
P2OsPt
1.0
0.000 3.040 3.040
3.040 0.000 3.040
3.040 3.040 0.000
P Pt Os
2 1 1
Cartesian
1.520 1.520 1.520
4.560 4.560 4.560
3.040 3.040 3.040
0.000 0.000 0.000
```

Properties
For the distance to the lowest polymorph of the same formula, the calculation gives 2.15 eV per formula unit. The calculation puts the formation energy at 0.320 eV per atom.

=====

- Which formula does entry 4 have?
  SiOs2Br